# 1
# HoErTm2In2

A relaxed structure of HoErTm2In2 (GGA-PBE, OQMD via LeMat-Bulk).

Unit cell a=5.3320 b=5.3320 c=6.6638 alpha=90.00 beta=90.00 gamma=120.00
Last column: nearest neighbours and their distance in Å.
Fractional coordinates of all 6 atoms:
Ho  0.0000  0.0000  0.0000  2 Er 3.33, 6 In 3.50, 6 Tm 3.50
Er  0.0000  0.0000  0.5000  2 Ho 3.33, 6 Tm 3.50, 6 In 3.50
Tm  0.3333  0.6667  0.2501  5 In 3.08-3.33
Tm  0.6667  0.3333  0.7499  5 In 3.08-3.33
In  0.3333  0.6667  0.7499  5 Tm 3.08-3.33
In  0.6667  0.3333  0.2501  5 Tm 3.08-3.33

Summary:
crystal system	trigonal

# 2
# HoErZn2In

A relaxed structure of HoErZn2In (GGA-PBE, OQMD via LeMat-Bulk).

Unit cell a=3.5882 b=7.4023 c=7.4023 alpha=34.49 beta=90.00 gamma=90.00
Last column: nearest neighbours and their distance in Å.
Fractional coordinates of all 5 atoms:
Ho  0.0000  0.0000  0.0000  6 Zn 3.01-3.04, 4 In 3.35
Er  0.0000  0.2517  0.2517  6 Zn 3.01-3.04, 4 In 3.35
Zn  0.5000  0.4228  0.4228  2 Zn 2.56, 1 In 2.87
Zn  0.5000  0.8289  0.8289  2 Zn 2.56, 1 In 2.87
In  0.5000  0.6258  0.6258  2 Zn 2.87

Summary:
crystal system	orthorhombic

# 3
# HoErIr

A relaxed structure of HoErIr (GGA-PBE, OQMD via LeMat-Bulk).

Unit cell a=7.1780 b=4.5595 c=8.7021 alpha=90.00 beta=90.00 gamma=90.00
Last column: nearest neighbours and their distance in Å.
Fractional coordinates of all 12 atoms:
Ho  0.0100  0.2500  0.1626  3 Ir 2.80-2.98
Ho  0.4900  0.7500  0.6626  3 Ir 2.80-2.98
Ho  0.5100  0.2500  0.3374  3 Ir 2.80-2.98
Ho  0.9900  0.7500  0.8374  3 Ir 2.80-2.98
Er  0.1418  0.2500  0.5794  4 Ir 2.86-2.93
Er  0.3582  0.7500  0.0794  4 Ir 2.86-2.93
Er  0.6418  0.2500  0.9206  4 Ir 2.86-2.93
Er  0.8582  0.7500  0.4206  4 Ir 2.86-2.93
Ir  0.2436  0.2500  0.9052  3 Ho 2.80-2.98, 4 Er 2.86-2.93
Ir  0.2564  0.7500  0.4052  3 Ho 2.80-2.98, 4 Er 2.86-2.93
Ir  0.7436  0.2500  0.5948  3 Ho 2.80-2.98, 4 Er 2.86-2.93
Ir  0.7564  0.7500  0.0948  3 Ho 2.80-2.98, 4 Er 2.86-2.93

Summary:
crystal system	orthorhombic
energy of formation from the pure elements	-0.76	eV/atom

# 4
# HoErIr

A relaxed structure of HoErIr (GGA-PBE, OQMD via LeMat-Bulk).

Unit cell a=7.1783 b=4.5620 c=8.7017 alpha=90.00 beta=90.00 gamma=90.00
Last column: nearest neighbours and their distance in Å.
Fractional coordinates of all 12 atoms:
Ho  0.1420  0.2500  0.0795  4 Ir 2.86-2.93
Ho  0.3580  0.7500  0.5795  4 Ir 2.86-2.93
Ho  0.6420  0.2500  0.4205  4 Ir 2.86-2.93
Ho  0.8580  0.7500  0.9205  4 Ir 2.86-2.93
Er  0.0100  0.2500  0.6625  3 Ir 2.80-2.98
Er  0.4900  0.7500  0.1625  3 Ir 2.80-2.98
Er  0.5100  0.2500  0.8375  3 Ir 2.80-2.98
Er  0.9900  0.7500  0.3375  3 Ir 2.80-2.98
Ir  0.2433  0.2500  0.4052  3 Er 2.80-2.98, 4 Ho 2.86-2.93
Ir  0.2567  0.7500  0.9052  3 Er 2.80-2.98, 4 Ho 2.86-2.93
Ir  0.7433  0.2500  0.0948  3 Er 2.80-2.98, 4 Ho 2.86-2.93
Ir  0.7567  0.7500  0.5948  3 Er 2.80-2.98, 4 Ho 2.86-2.93

Summary:
crystal system	orthorhombic
energy of formation from the pure elements	-0.75	eV/atom

# 5
# HoEr2Lu4Te2Ir2

A relaxed structure of HoEr2Lu4Te2Ir2 (GGA-PBE, OQMD via LeMat-Bulk).

Unit cell a=9.2543 b=9.2543 c=9.2543 alpha=155.69 beta=66.30 gamma=119.37
Last column: nearest neighbours and their distance in Å.
Fractional coordinates of all 11 atoms:
Ho  0.0000  0.0000  0.0000  3 Te 3.14-3.15
Er  0.4500  0.5820  0.8680  2 Ir 2.81, 1 Te 3.08
Er  0.7140  0.5820  0.1320  2 Ir 2.81, 1 Te 3.08
Lu  0.0568  0.3712  0.6856  3 Ir 2.82-3.05, 1 Te 3.14
Lu  0.0827  0.7302  0.3525  2 Ir 2.81
Lu  0.3778  0.7302  0.6475  2 Ir 2.81
Lu  0.6855  0.3712  0.3144  3 Ir 2.82-3.05, 1 Te 3.14
Te  0.3358  0.3358  0.0000  2 Er 3.08, 1 Ho 3.14, 4 Lu 3.16
Te  0.7355  0.2355  0.5000  2 Lu 3.14, 2 Ho 3.15, 4 Er 3.17
Ir  0.3085  0.0715  0.2371  5 Lu 2.81-3.05, 2 Er 2.81
Ir  0.8344  0.0715  0.7629  5 Lu 2.81-3.05, 2 Er 2.81

Summary:
crystal system	orthorhombic

# 6
# Ho3Er2Lu2Te2Ir2

A relaxed structure of Ho3Er2Lu2Te2Ir2 (GGA-PBE, OQMD via LeMat-Bulk).

Unit cell a=9.2886 b=9.2886 c=9.2886 alpha=155.61 beta=66.07 gamma=119.66
Last column: nearest neighbours and their distance in Å.
Fractional coordinates of all 11 atoms:
Ho  0.0000  0.0000  0.0000  3 Te 3.15-3.16
Ho  0.0863  0.7340  0.3523  2 Ir 2.87, 2 Te 3.18
Ho  0.3818  0.7340  0.6477  2 Ir 2.87, 2 Te 3.18
Er  0.4523  0.5844  0.8679  2 Ir 2.82, 1 Te 3.08
Er  0.7165  0.5844  0.1321  2 Ir 2.82, 1 Te 3.08
Lu  0.0573  0.3722  0.6851  3 Ir 2.81-3.07, 1 Te 3.15
Lu  0.6872  0.3722  0.3149  3 Ir 2.81-3.07, 1 Te 3.15
Te  0.3384  0.3384  0.0000  2 Er 3.08, 5 Ho 3.16-3.18
Te  0.7367  0.2367  0.5000  2 Ho 3.15, 2 Lu 3.15, 4 Er 3.18
Ir  0.3074  0.0689  0.2385  3 Lu 2.81-3.07, 2 Er 2.82, 2 Ho 2.87
Ir  0.8304  0.0689  0.7615  3 Lu 2.81-3.07, 2 Er 2.82, 2 Ho 2.87

Summary:
crystal system	orthorhombic

Number 1: total DFT energy (no corrections) -4.275 eV/atom, density 9.11 g/cm³, total magnetic moment 0.40 μB per formula unit. Number 2: total DFT energy (no corrections) -3.298 eV/atom, density 8.62 g/cm³, total magnetic moment 0.01 μB per formula unit. Number 3: total DFT energy (no corrections) -6.761 eV/atom, density 12.23 g/cm³, total magnetic moment 0.01 μB per formula unit. Number 4: total DFT energy (no corrections) -6.753 eV/atom, density 12.22 g/cm³, total magnetic moment 0.01 μB per formula unit. Number 5: total DFT energy (no corrections) -6.014 eV/atom, density 10.83 g/cm³, total magnetic moment 0.02 μB per formula unit. Number 6: total DFT energy (no corrections) -6.024 eV/atom, density 10.59 g/cm³, total magnetic moment 0.01 μB per formula unit.